1.
First-principles (PBE) data for PrYTl2Se4 after structural relaxation, as listed in Alexandria via LeMat-Bulk.

Properties
Its mass density is 6.45 Mg/m³. Its magnetic moment is 0.00 μB/cell. The value obtained for the uncorrected formation energy is -11.048 eV/f.u.

Cell: 7.4081 4.2757 8.1412 Å, 90.00 107.63 90.00°
Closest atoms and distances in Å follow each position.
Positions (direct):
Pr: 0.0000 0.0000 0.0000  6 Se 2.99-3.00
Y: 0.5000 0.5000 0.0000  6 Se 2.91-2.92
Tl: 0.0000 0.5000 0.5000  6 Se 3.38
Tl: 0.5000 0.0000 0.5000  6 Se 3.31-3.32
Se: 0.2454 0.5000 0.2105  1 Y 2.91, 2 Pr 2.99
Se: 0.2729 0.0000 0.7935  2 Y 2.92, 1 Pr 3.00
Se: 0.7271 0.0000 0.2065  2 Y 2.92, 1 Pr 3.00
Se: 0.7546 0.5000 0.7895  1 Y 2.91, 2 Pr 2.99

***

2.
First-principles (PBE) data for K3Ho2ScTe6 after structural relaxation, as listed in Alexandria via LeMat-Bulk.

Properties
Its mass density is 4.99 Mg/m³. Its magnetic moment is 0.00 μB/cell. The value obtained for the uncorrected formation energy is -16.094 eV/f.u.

Cell: 7.6649 7.6649 8.6130 Å, 98.53 98.53 120.01°
Closest atoms and distances in Å follow each position.
Positions (direct):
K: 0.0000 0.0000 0.0000  6 Te 3.50-3.58
K: 0.3304 0.6696 0.0000  6 Te 3.50-3.56
K: 0.6696 0.3304 0.0000  6 Te 3.50-3.56
Ho: 0.1662 0.8338 0.5000  6 Te 3.09
Ho: 0.8338 0.1662 0.5000  6 Te 3.09
Sc: 0.5000 0.5000 0.5000  6 Te 2.99
Te: 0.1088 0.4322 0.2960  1 Sc 2.99, 2 Ho 3.09
Te: 0.2453 0.2453 0.7049  1 Sc 2.99, 2 Ho 3.09
Te: 0.4322 0.1088 0.2960  1 Sc 2.99, 2 Ho 3.09
Te: 0.5678 0.8912 0.7040  1 Sc 2.99, 2 Ho 3.09
Te: 0.7547 0.7547 0.2951  1 Sc 2.99, 2 Ho 3.09
Te: 0.8912 0.5678 0.7040  1 Sc 2.99, 2 Ho 3.09

***

3.
First-principles (PBE) data for Pm5Pr8Pu after structural relaxation, as listed in Alexandria via LeMat-Bulk.

Properties
Its mass density is 7.00 Mg/m³. Its magnetic moment is 6.58 μB/cell. For the formation energy, the calculation gives 254 meV per atom.

Cell: 8.6467 8.6467 8.6467 Å, 110.64 110.64 107.17°
Closest atoms and distances in Å follow each position.
Positions (direct):
Pm: 0.0000 0.0000 0.0000  8 Pr 3.29-3.45
Pm: 0.3172 0.2161 0.6911  8 Pr 3.41-3.71, 2 Pm 3.59
Pm: 0.3738 0.6828 0.8989  8 Pr 3.41-3.71, 2 Pm 3.59
Pm: 0.5250 0.6262 0.3089  8 Pr 3.41-3.71, 2 Pm 3.59
Pm: 0.7839 0.4750 0.1011  8 Pr 3.41-3.71, 2 Pm 3.59
Pr: 0.0272 0.7626 0.6035  5 Pm 3.45-3.71, 3 Pr 3.58-3.86
Pr: 0.0516 0.3273 0.8831  1 Pu 3.09, 3 Pm 3.29-3.44
Pr: 0.1591 0.4237 0.3965  5 Pm 3.45-3.71, 3 Pr 3.58-3.86
Pr: 0.2374 0.8409 0.2647  5 Pm 3.45-3.71, 3 Pr 3.58-3.86
Pr: 0.4442 0.1685 0.1169  1 Pu 3.09, 3 Pm 3.29-3.44
Pr: 0.5763 0.9728 0.7353  5 Pm 3.45-3.71, 3 Pr 3.58-3.86
Pr: 0.6727 0.5558 0.7243  1 Pu 3.09, 3 Pm 3.29-3.44
Pr: 0.8315 0.9484 0.2757  1 Pu 3.09, 3 Pm 3.29-3.44
Pu: 0.7500 0.2500 0.5000  4 Pr 3.09

***

> What is the formula in the third record?

Pm5Pr8Pu

***

> Which of these has the highest magnetic moment?

Pm5Pr8Pu

***

> mass density of number 1 (PrYTl2Se4)?

6.45 Mg/m³

***

Please write out number 2 again, unchanged.
First-principles (PBE) data for K3Ho2ScTe6 after structural relaxation, as listed in Alexandria via LeMat-Bulk.

Properties
Its mass density is 4.99 Mg/m³. Its magnetic moment is 0.00 μB/cell. The value obtained for the uncorrected formation energy is -16.094 eV/f.u.

Cell: 7.6649 7.6649 8.6130 Å, 98.53 98.53 120.01°
Closest atoms and distances in Å follow each position.
Positions (direct):
K: 0.0000 0.0000 0.0000  6 Te 3.50-3.58
K: 0.3304 0.6696 0.0000  6 Te 3.50-3.56
K: 0.6696 0.3304 0.0000  6 Te 3.50-3.56
Ho: 0.1662 0.8338 0.5000  6 Te 3.09
Ho: 0.8338 0.1662 0.5000  6 Te 3.09
Sc: 0.5000 0.5000 0.5000  6 Te 2.99
Te: 0.1088 0.4322 0.2960  1 Sc 2.99, 2 Ho 3.09
Te: 0.2453 0.2453 0.7049  1 Sc 2.99, 2 Ho 3.09
Te: 0.4322 0.1088 0.2960  1 Sc 2.99, 2 Ho 3.09
Te: 0.5678 0.8912 0.7040  1 Sc 2.99, 2 Ho 3.09
Te: 0.7547 0.7547 0.2951  1 Sc 2.99, 2 Ho 3.09
Te: 0.8912 0.5678 0.7040  1 Sc 2.99, 2 Ho 3.09